# 1
ScMn2Co: PBEsol geometry, SCAN.

abc: 8.1375 8.1375 8.1375
angles: 19.57 19.57 19.57
Element x y z (fractional)
1 Sc 0.0000 0.0000 0.0000
2 Mn 0.2400 0.2400 0.2400
3 Mn 0.4988 0.4988 0.4988
4 Co 0.7553 0.7553 0.7553

Values from the calculation:
Distance to the lowest polymorph of the same formula   0.3783 eV per atom
Space-group type   R3m
Crystal system   trigonal
Energy of formation from the pure elements   171 meV/atom

---

# 2
ScMn2Co: PBEsol geometry, SCAN.

abc: 4.8411 4.8411 2.6118
angles: 100.89 100.89 119.71
Element x y z (fractional)
1 Sc 0.0000 0.0000 0.0000
2 Mn 0.0000 0.5000 0.5000
3 Mn 0.5000 0.0000 0.5000
4 Co 0.5000 0.5000 0.0000

Values from the calculation:
Distance to the lowest polymorph of the same formula   0.4451 eV per atom
Space-group type   C2/m
Crystal system   monoclinic
Energy of formation from the pure elements   238 meV/atom

---

# 3
ScMnCo2: PBEsol geometry, SCAN.

abc: 8.0403 8.0403 8.0403
angles: 19.68 19.68 19.68
Element x y z (fractional)
1 Sc 0.0000 0.0000 0.0000
2 Mn 0.5000 0.5000 0.5000
3 Co 0.2435 0.2435 0.2435
4 Co 0.7565 0.7565 0.7565

Values from the calculation:
Space-group type   R-3m
Crystal system   trigonal
Energy of formation from the pure elements   232 meV/atom

---

# 4
ScMnCo2: PBEsol geometry, SCAN.

abc: 2.9464 2.9464 5.9796
angles: 90.00 90.00 90.00
Element x y z (fractional)
1 Sc 0.0000 0.0000 0.0000
2 Mn 0.5000 0.5000 0.7124
3 Co 0.0000 0.0000 0.4916
4 Co 0.5000 0.5000 0.2850

Values from the calculation:
Space-group type   P4mm
Crystal system   tetragonal
Energy of formation from the pure elements   -42 meV/atom

---

# 5
ScMn2Co: PBEsol geometry, SCAN.

abc: 4.1579 4.1579 4.1579
angles: 60.00 60.00 60.00
Element x y z (fractional)
1 Sc 0.0000 0.0000 0.0000
2 Mn 0.5000 0.5000 0.5000
3 Mn 0.7500 0.7500 0.7500
4 Co 0.2500 0.2500 0.2500

Values from the calculation:
Distance to the lowest polymorph of the same formula   0.0000 eV per atom
Space-group type   F-43m
Crystal system   cubic
Energy of formation from the pure elements   -207 meV/atom

---

# 6
ScMnCo2: PBEsol geometry, SCAN.

abc: 4.1511 4.1511 4.1511
angles: 60.00 60.00 60.00
Element x y z (fractional)
1 Sc 0.0000 0.0000 0.0000
2 Mn 0.5000 0.5000 0.5000
3 Co 0.2500 0.2500 0.2500
4 Co 0.7500 0.7500 0.7500

Values from the calculation:
Space-group type   Fm-3m
Crystal system   cubic
Energy of formation from the pure elements   -254 meV/atom

---

# 7
Mn2CoSe: PBEsol geometry, SCAN.

abc: 3.1199 3.1199 5.2697
angles: 90.00 90.00 90.00
Element x y z (fractional)
1 Mn 0.0000 0.0000 0.2454
2 Mn 0.0000 0.0000 0.7546
3 Co 0.5000 0.5000 0.0000
4 Se 0.5000 0.5000 0.5000

Values from the calculation:
Distance to the lowest polymorph of the same formula   0.0000 eV per atom
Space-group type   P4/mmm
Crystal system   tetragonal

---

# 8
MnCoSe: PBEsol geometry, SCAN.

abc: 3.0010 3.0010 5.2926
angles: 90.00 90.00 120.00
Element x y z (fractional)
1 Mn 0.0000 0.0000 0.0000
2 Co 0.6667 0.3333 0.3090
3 Se 0.3333 0.6667 0.6684

Values from the calculation:
Space-group type   P3m1
Crystal system   trigonal

---

# 9
Mn2CoSe: PBEsol geometry, SCAN.

abc: 4.1745 4.1745 2.9698
angles: 90.00 90.00 105.74
Element x y z (fractional)
1 Mn 0.0000 0.5000 0.0000
2 Mn 0.5000 0.0000 0.0000
3 Co 0.0000 0.0000 0.5000
4 Se 0.5000 0.5000 0.5000

Values from the calculation:
Distance to the lowest polymorph of the same formula   0.1657 eV per atom
Space-group type   Cmmm
Crystal system   orthorhombic

---

# 10
MnCo2Se: PBEsol geometry, SCAN.

abc: 4.0916 4.0916 4.0916
angles: 60.00 60.00 60.00
Element x y z (fractional)
1 Mn 0.0000 0.0000 0.0000
2 Co 0.2500 0.2500 0.2500
3 Co 0.7500 0.7500 0.7500
4 Se 0.5000 0.5000 0.5000

Values from the calculation:
Distance to the lowest polymorph of the same formula   0.0000 eV per atom
Space-group type   Fm-3m
Crystal system   cubic

---

# 11
MnCo2Se: PBEsol geometry, SCAN.

abc: 4.5588 4.5588 4.5588
angles: 134.95 134.95 65.60
Element x y z (fractional)
1 Mn 0.0000 0.0000 0.0000
2 Co 0.2500 0.7500 0.5000
3 Co 0.5000 0.5000 0.0000
4 Se 0.7500 0.2500 0.5000

Values from the calculation:
Distance to the lowest polymorph of the same formula   0.1126 eV per atom
Space-group type   I-4m2
Crystal system   tetragonal

---

# 12
Ti2MnCoSe: PBEsol geometry, SCAN.

abc: 4.3975 4.3975 4.2811
angles: 90.00 90.00 90.00
Element x y z (fractional)
1 Ti 0.0000 0.5000 0.0000
2 Ti 0.5000 0.0000 0.0000
3 Mn 0.0000 0.0000 0.0000
4 Co 0.5000 0.5000 0.5000
5 Se 0.0000 0.0000 0.5000

Values from the calculation:
Space-group type   P4/mmm
Crystal system   tetragonal

---

# 13
Y2MnCoSe: PBEsol geometry, SCAN.

abc: 5.2592 5.2592 4.3162
angles: 90.00 90.00 90.00
Element x y z (fractional)
1 Y 0.0000 0.5000 0.0000
2 Y 0.5000 0.0000 0.0000
3 Mn 0.0000 0.0000 0.5000
4 Co 0.5000 0.5000 0.5000
5 Se 0.0000 0.0000 0.0000

Values from the calculation:
Space-group type   P4/mmm
Crystal system   tetragonal

---

# 14
MnCoSi: PBEsol geometry, SCAN.

abc: 3.8883 3.8883 5.0170
angles: 90.00 90.00 120.00
Element x y z (fractional)
1 Mn 0.3333 0.6667 0.2500
2 Mn 0.6667 0.3333 0.7500
3 Co 0.3333 0.6667 0.7500
4 Co 0.6667 0.3333 0.2500
5 Si 0.0000 0.0000 0.0000
6 Si 0.0000 0.0000 0.5000

Values from the calculation:
Distance to the lowest polymorph of the same formula   0.4898 eV per atom
Space-group type   P6_3/mmc
Crystal system   hexagonal

---

# 15
MnCoSi: PBEsol geometry, SCAN.

abc: 3.9196 3.9196 4.9092
angles: 90.00 90.00 120.00
Element x y z (fractional)
1 Mn 0.0000 0.0000 0.0000
2 Mn 0.0000 0.0000 0.5000
3 Co 0.3333 0.6667 0.2500
4 Co 0.6667 0.3333 0.7500
5 Si 0.3333 0.6667 0.7500
6 Si 0.6667 0.3333 0.2500

Values from the calculation:
Distance to the lowest polymorph of the same formula   0.1024 eV per atom
Space-group type   P6_3/mmc
Crystal system   hexagonal

---

| no. | E_tot (eV per atom) |
| --- | --- |
| 1 | -16.842 |
| 2 | -16.775 |
| 3 | -16.543 |
| 4 | -16.818 |
| 5 | -17.220 |
| 6 | -17.030 |
| 7 | -18.666 |
| 8 | -18.374 |
| 9 | -18.500 |
| 10 | -18.222 |
| 11 | -18.109 |
| 12 | -17.022 |
| 13 | -22.368 |
| 14 | -15.248 |
| 15 | -15.635 |